Sr2Al4TlAg3: optimized geometry, PBE.

POSCAR file:
```
Sr2Al4TlAg3
1.0
4.5223 0.0000 0.0000
0.0000 4.5223 0.0000
0.0000 0.0000 11.3303
Sr Al Tl Ag
2 4 1 3
Direct
0.0000 0.5000 0.2431
0.5000 0.0000 0.7569
0.0000 0.0000 0.0000
0.0000 0.5000 0.6450
0.5000 0.0000 0.3550
0.5000 0.5000 0.0000
0.0000 0.0000 0.5000
0.0000 0.5000 0.8741
0.5000 0.0000 0.1259
0.5000 0.5000 0.5000
```

Results
total DFT energy (no corrections)	-3.139	eV/atom
calculated volume	23.2	Å³ per atom
space-group type	No. 115
Fermi-level density of states	4.9	states/eV per cell